Entry 1:
Compound: LiCeBi
Source: Alexandria via LeMat-Bulk
Functional: GGA-PBE
Structure: optimized geometry

Cell lengths 3.790, 3.790, 11.456 Å; angles 99.52, 99.52, 90.00 degrees
Atoms (fractional coordinates):
Li1 0.715 0.715 0.429
Li2 0.285 0.285 0.571
Ce1 0.559 0.559 0.118
Ce2 0.441 0.441 0.882
Bi1 0.153 0.153 0.307
Bi2 0.847 0.847 0.693

Properties
The crystal system is tetragonal. The offset from the most stable computed form comes out at 303 meV/atom.

=====

Entry 2:
Compound: LiCeBi2
Source: Alexandria via LeMat-Bulk
Functional: GGA-PBE
Structure: optimized geometry

Cell lengths 5.422, 5.422, 5.422 Å; angles 60.00, 60.00, 60.00 degrees
Atoms (fractional coordinates):
Bi1 0.750 0.750 0.750
Bi2 0.250 0.250 0.250
Ce1 0.000 0.000 0.000
Li1 0.500 0.500 0.500

Properties
The crystal system is cubic. The offset from the most stable computed form comes out at 165 meV/atom.

=====

Entry 3:
Compound: Li6CeBi4
Source: Alexandria via LeMat-Bulk
Functional: GGA-PBE
Structure: optimized geometry

Cell lengths 4.482, 8.157, 8.157 Å; angles 120.00, 90.00, 90.00 degrees
Atoms (fractional coordinates):
Li1 0.500 0.214 0.786
Li2 0.500 0.214 0.429
Li3 0.500 0.571 0.786
Li4 0.000 0.534 0.068
Li5 0.000 0.534 0.466
Li6 0.000 0.932 0.466
Bi1 0.500 0.824 0.176
Bi2 0.500 0.824 0.648
Bi3 0.000 0.333 0.667
Bi4 0.500 0.352 0.176
Ce1 0.000 0.000 0.000

Properties
The crystal system is hexagonal.

=====

Raw total energy for every record listed, in sequence, given in eV/atom: -4.1956 -4.3694 -3.4529.